Compound: Ta2CdI
Source: Alexandria via LeMat-Bulk
Functional: PBE-GGA
Structure: optimized geometry

```
data_Ta2CdI
_chemical_formula_sum 'Ta2 Cd1 I1'
_symmetry_space_group_name_H-M 'P 1'
_symmetry_Int_Tables_number 1
_symmetry_space_group_name_Hall 'P 1'
_cell_length_a 4.8237
_cell_length_b 4.8237
_cell_length_c 4.8237
_cell_angle_alpha 60.00
_cell_angle_beta 60.00
_cell_angle_gamma 60.00
loop_
_atom_site_label
_atom_site_fract_x
_atom_site_fract_y
_atom_site_fract_z
Ta1 0.2500 0.2500 0.2500
Ta2 0.7500 0.7500 0.7500
Cd1 0.0000 0.0000 0.0000
I1 0.5000 0.5000 0.5000
```

Computed properties:
Offset from the most stable computed form (meV/atom): 0
Theoretical density (g cm⁻³): 12.58
E_tot (eV for the cell shown): -22.47
Calculated volume (Å³/f.u.): 79
Space group: Fm-3m, No. 225
Magnetization (μB/cell): 0.0